# GGA+U BaMn2Ru2O7, optimized geometry
# Size of the total moment = 27.77 μB per cell
# Electronic total energy = -173.854 eV/cell
data_BaMn2Ru2O7
_chemical_formula_sum 'Ba2 Mn4 Ru4 O14'
_cell_length_a 4.177
_cell_length_b 4.189
_cell_length_c 17.313
_cell_angle_alpha 90.00
_cell_angle_beta 90.00
_cell_angle_gamma 90.00
_space_group_name_H-M_alt 'I m m m'
_space_group_IT_number 71
_space_group_name_Hall '-I 2 2'
loop_
_atom_site_label
_atom_site_type_symbol
_atom_site_fract_x
_atom_site_fract_y
_atom_site_fract_z
Ba1 Ba 0.000 0.000 0.000
Mn1 Mn 0.000 0.500 0.251
Ru1 Ru 0.000 0.000 0.388
O1 O 0.000 0.000 0.269
O2 O 0.000 0.000 0.500
O3 O 0.000 0.500 0.119
O4 O 0.000 0.500 0.381